Record 1
This record from Alexandria describes ReP4 after structural relaxation. The functional is PBEsol.

Formation energy from the elements   -0.375 eV per atom

Lattice parameters (Å, degrees): 6.2047 9.2026 10.8381 90.00 90.00 90.00
Last column: nearest neighbours and their distance in Å.
Positions (direct):
P  0.4955  0.2093  0.0684  2 P 2.21-2.26, 1 Re 2.41
P  0.0045  0.7907  0.5684  2 P 2.21-2.26, 1 Re 2.41
P  0.6874  0.5524  0.7621  3 P 2.18-2.20, 1 Re 2.34
P  0.9955  0.2907  0.9316  2 P 2.21-2.26, 1 Re 2.41
P  0.2531  0.0437  0.4188  2 P 2.19-2.21, 2 Re 2.34-2.36
P  0.3126  0.0524  0.7379  3 P 2.18-2.20, 1 Re 2.34
P  0.4378  0.7811  0.2359  3 P 2.18-2.26, 1 Re 2.38
P  0.1874  0.9476  0.2379  3 P 2.18-2.20, 1 Re 2.34
P  0.9378  0.7811  0.2641  3 P 2.18-2.26, 1 Re 2.38
P  0.0045  0.7093  0.0684  2 P 2.21-2.26, 1 Re 2.41
P  0.5045  0.7093  0.4316  2 P 2.21-2.26, 1 Re 2.41
P  0.3126  0.4476  0.2379  3 P 2.18-2.20, 1 Re 2.34
P  0.7531  0.4563  0.5812  2 P 2.19-2.21, 2 Re 2.34-2.36
P  0.5622  0.2189  0.7641  3 P 2.18-2.26, 1 Re 2.38
P  0.7531  0.0437  0.0812  2 P 2.19-2.21, 2 Re 2.34-2.36
P  0.9378  0.7189  0.7641  3 P 2.18-2.26, 1 Re 2.38
P  0.4955  0.2907  0.5684  2 P 2.21-2.26, 1 Re 2.41
P  0.5622  0.2811  0.2641  3 P 2.18-2.26, 1 Re 2.38
P  0.5045  0.7907  0.9316  2 P 2.21-2.26, 1 Re 2.41
P  0.8126  0.4476  0.2621  3 P 2.18-2.20, 1 Re 2.34
P  0.4378  0.7189  0.7359  3 P 2.18-2.26, 1 Re 2.38
P  0.2469  0.5437  0.4188  2 P 2.19-2.21, 2 Re 2.34-2.36
P  0.1874  0.5524  0.7379  3 P 2.18-2.20, 1 Re 2.34
P  0.2469  0.9563  0.9188  2 P 2.19-2.21, 2 Re 2.34-2.36
P  0.0622  0.2811  0.2359  3 P 2.18-2.26, 1 Re 2.38
P  0.8126  0.0524  0.7621  3 P 2.18-2.20, 1 Re 2.34
P  0.0622  0.2189  0.7359  3 P 2.18-2.26, 1 Re 2.38
P  0.2531  0.4563  0.9188  2 P 2.19-2.21, 2 Re 2.34-2.36
P  0.9955  0.2093  0.4316  2 P 2.21-2.26, 1 Re 2.41
P  0.7469  0.5437  0.0812  2 P 2.19-2.21, 2 Re 2.34-2.36
P  0.6874  0.9476  0.2621  3 P 2.18-2.20, 1 Re 2.34
P  0.7469  0.9563  0.5812  2 P 2.19-2.21, 2 Re 2.34-2.36
Re  0.6212  0.3904  0.9246  6 P 2.34-2.50
Re  0.8788  0.8904  0.9246  6 P 2.34-2.50
Re  0.3788  0.6096  0.0754  6 P 2.34-2.50
Re  0.1212  0.1096  0.0754  6 P 2.34-2.50
Re  0.3788  0.8904  0.5754  6 P 2.34-2.50
Re  0.8788  0.6096  0.4246  6 P 2.34-2.50
Re  0.1212  0.3904  0.5754  6 P 2.34-2.50
Re  0.6212  0.1096  0.4246  6 P 2.34-2.50


Record 2
This record from Alexandria describes Nb2CrGaHg after structural relaxation. The functional is PBEsol.

Formation energy from the elements   1.049 eV per atom
Fermi-level density of states   0.8908 states/eV/atom

Lattice parameters (Å, degrees): 4.4351 4.7374 4.7374 90.00 90.00 90.00
Last column: nearest neighbours and their distance in Å.
Positions (direct):
Hg  0.5000  0.5000  0.5000  8 Nb 3.24, 4 Cr 3.35
Nb  0.0000  0.0000  0.5000  2 Ga 2.37
Nb  0.0000  0.5000  0.0000  2 Ga 2.37
Ga  0.0000  0.0000  0.0000  2 Cr 2.22, 4 Nb 2.37
Cr  0.5000  0.0000  0.0000  2 Ga 2.22


Record 3
This record from Alexandria describes Tl2HgPb after structural relaxation. The functional is PBEsol.

Formation energy from the elements   0.015 eV per atom
Fermi-level density of states   0.4351 states/eV/atom

Lattice parameters (Å, degrees): 4.8830 4.8830 5.6893 115.41 115.41 90.00
Last column: nearest neighbours and their distance in Å.
Positions (direct):
Tl  0.7500  0.2500  0.5000  4 Hg 3.33, 4 Tl 3.33, 4 Pb 3.45
Tl  0.0000  0.0000  0.0000  4 Tl 3.33, 4 Pb 3.33, 4 Hg 3.45
Pb  0.2500  0.7500  0.5000  4 Hg 3.33, 8 Tl 3.33-3.45
Hg  0.5000  0.5000  0.0000  8 Tl 3.33-3.45, 4 Pb 3.33


Record 4
This record from Alexandria describes Sr2InAs after structural relaxation. The functional is PBEsol.

Formation energy from the elements   -0.723 eV per atom
Fermi-level density of states   0.3202 states/eV/atom

Lattice parameters (Å, degrees): 4.0046 4.0063 7.1654 90.00 90.03 90.00
Last column: nearest neighbours and their distance in Å.
Positions (direct):
In  0.5000  0.5000  0.5000  8 Sr 3.47, 2 As 3.58
Sr  0.0003  0.0000  0.7792  1 Sr 3.16, 4 As 3.24-3.25, 4 In 3.47
Sr  0.9997  0.0000  0.2208  1 Sr 3.16, 4 As 3.24-3.25, 4 In 3.47
As  0.5000  0.5000  0.0000  8 Sr 3.24-3.25, 2 In 3.58


Record 5
This record from Alexandria describes SbOsPb2 after structural relaxation. The functional is PBEsol.

Fermi-level density of states   1.0050 states/eV/atom
Formation energy (no corrections)   0.90 eV/atom

Lattice parameters (Å, degrees): 3.5218 4.9136 5.2280 90.00 90.00 90.00
Last column: nearest neighbours and their distance in Å.
Positions (direct):
Pb  0.0000  0.0000  0.0000  4 Pb 3.02, 4 Sb 3.15
Pb  0.5000  0.5000  0.0000  4 Pb 3.02, 4 Os 3.15
Os  0.0000  0.5000  0.5000  4 Sb 3.02, 4 Pb 3.15
Sb  0.5000  0.0000  0.5000  4 Os 3.02, 4 Pb 3.15


Record 6
This record from Alexandria describes Y2CdSe after structural relaxation. The functional is PBEsol.

Fermi-level density of states   0.6966 states/eV/atom
Relative energy among the computed polymorphs   3.76 kcal/mol of atoms
Formation energy (no corrections)   -0.89 eV/atom

Lattice parameters (Å, degrees): 3.7915 4.5483 5.9391 90.00 108.61 90.00
Last column: nearest neighbours and their distance in Å.
Positions (direct):
Se  0.2709  0.0000  0.5417  7 Y 2.96-3.28, 2 Cd 3.27
Cd  0.4790  0.5000  0.9581  7 Y 2.96-3.28, 2 Se 3.27
Y  0.7418  0.5000  0.4836  3 Cd 2.96-3.28, 4 Se 2.98
Y  0.0083  0.0000  0.0166  3 Se 2.96-3.28, 4 Cd 2.98


Record 7
This record from Alexandria describes Be2RhBr after structural relaxation. The functional is PBEsol.

Fermi-level density of states   0.1712 states/eV/atom
Relative energy among the computed polymorphs   3.25 kcal/mol of atoms
Formation energy (no corrections)   0.01 eV/atom

Lattice parameters (Å, degrees): 3.0819 3.0819 6.1874 90.00 90.00 90.00
Last column: nearest neighbours and their distance in Å.
Positions (direct):
Be  0.0000  0.0000  0.9854  4 Rh 2.27
Be  0.5000  0.5000  0.2191  1 Rh 2.08
Rh  0.5000  0.5000  0.8827  5 Be 2.08-2.27
Br  0.0000  0.0000  0.4127  5 Be 2.49-2.64


Record 8
This record from Alexandria describes Tl2HgPb after structural relaxation. The functional is PBEsol.

Formation energy from the elements   0.010 eV per atom
Fermi-level density of states   0.3896 states/eV/atom

Lattice parameters (Å, degrees): 3.3525 6.0899 6.0899 114.68 97.66 97.66
Last column: nearest neighbours and their distance in Å.
Positions (direct):
Pb  0.5000  0.5000  0.5000  8 Tl 3.27-3.67, 2 Hg 3.29, 2 Pb 3.35
Tl  0.0000  0.5000  0.0000  4 Hg 3.27-3.67, 4 Pb 3.27-3.67, 4 Tl 3.29-3.35
Tl  0.0000  0.0000  0.5000  4 Pb 3.27-3.67, 4 Hg 3.27-3.67, 4 Tl 3.29-3.35
Hg  0.5000  0.0000  0.0000  8 Tl 3.27-3.67, 2 Pb 3.29, 2 Hg 3.35


Record 9
This record from Alexandria describes CsZrICl2 after structural relaxation. The functional is PBEsol.

Fermi-level density of states   1.4313 states/eV/atom
Formation energy (no corrections)   -0.20 eV/atom

Lattice parameters (Å, degrees): 5.2465 6.5368 6.5368 90.00 90.00 90.00
Last column: nearest neighbours and their distance in Å.
Positions (direct):
Cs  0.5000  0.5000  0.5000  8 Cl 4.19, 4 Zr 4.62
Zr  0.5000  0.0000  0.0000  2 I 2.62
Cl  0.0000  0.0000  0.5000  2 I 3.27
Cl  0.0000  0.5000  0.0000  2 I 3.27
I  0.0000  0.0000  0.0000  2 Zr 2.62


Record 10
This record from Alexandria describes Mn2IrOs after structural relaxation. The functional is PBEsol.

Formation energy from the elements   -0.011 eV per atom
Fermi-level density of states   1.0938 states/eV/atom
Relative energy among the computed polymorphs   1.21 kcal/mol of atoms

Lattice parameters (Å, degrees): 2.6174 3.6182 5.2455 90.00 90.00 90.00
Last column: nearest neighbours and their distance in Å.
Positions (direct):
Mn  0.0000  0.0000  0.2472  4 Os 2.58, 4 Mn 2.59-2.65, 4 Ir 2.60
Mn  0.0000  0.0000  0.7528  4 Os 2.58, 4 Mn 2.59-2.65, 4 Ir 2.60
Os  0.5000  0.5000  0.0000  8 Mn 2.58, 2 Os 2.62, 2 Ir 2.62
Ir  0.5000  0.5000  0.5000  8 Mn 2.60, 2 Ir 2.62, 2 Os 2.62


Record 11
This record from Alexandria describes ZnGeN2 after structural relaxation. The functional is PBEsol.

Fermi-level density of states   0.0000 states/eV/atom
Formation energy (no corrections)   -0.34 eV/atom

Lattice parameters (Å, degrees): 4.5429 4.5429 5.4306 114.73 114.73 90.00
Last column: nearest neighbours and their distance in Å.
Positions (direct):
N  0.3444  0.8750  0.2500  2 Ge 1.87, 2 Zn 2.03
N  0.6250  0.6556  0.7500  2 Ge 1.87, 2 Zn 2.03
N  0.1250  0.0944  0.7500  2 Ge 1.87, 2 Zn 2.03
N  0.9056  0.3750  0.2500  2 Ge 1.87, 2 Zn 2.03
Ge  0.2500  0.7500  0.5000  4 N 1.87
Ge  0.0000  0.0000  0.0000  4 N 1.87
Zn  0.7500  0.2500  0.5000  4 N 2.03
Zn  0.5000  0.5000  0.0000  4 N 2.03


Record 12
This record from Alexandria describes Zn2Mo after structural relaxation. The functional is PBEsol.

Formation energy from the elements   0.546 eV per atom
Fermi-level density of states   0.5864 states/eV/atom

Lattice parameters (Å, degrees): 3.4906 3.4906 7.7246 103.06 103.06 90.00
Last column: nearest neighbours and their distance in Å.
Positions (direct):
Mo  0.2500  0.7500  0.5000  8 Zn 2.71
Mo  0.0000  0.0000  0.0000  8 Zn 2.71
Zn  0.4230  0.4230  0.8460  3 Zn 2.24-2.25
Zn  0.5770  0.5770  0.1540  3 Zn 2.24-2.25
Zn  0.6730  0.1730  0.3460  3 Zn 2.24-2.25
Zn  0.8270  0.3270  0.6540  3 Zn 2.24-2.25